# 1
DFT (PBE) results for a relaxed structure of GdEr3.

Cell: 4.980 4.980 4.980 Å, 90.00 90.00 90.00°
Space group Pm-3m (No. 221)
Unique sites:
Gd (0.000, 0.000, 0.000)
Er (0.000, 0.500, 0.500)

ΔH_f (0 K), eV/atom: 0.024
Excess energy over the best structure of this formula in the dataset, meV per atom: 23
Volume, Å³ per cell: 123.51
DOS at the Fermi energy, states/eV per cell: 6.72


# 2
DFT (PBE) results for a relaxed structure of Mn2Pb2Se.

Cell: 3.204 3.204 21.090 Å, 90.00 90.00 90.00°
Space group I4/mmm (No. 139)
Unique sites:
Mn (0.000, 0.500, 0.250)
Pb (0.000, 0.000, 0.132)
Se (0.000, 0.000, 0.500)

Excess energy over the best structure of this formula in the dataset, meV per atom: 96
Raw formation energy, meV/atom: 535
Volume, Å³ per cell: 216.56
DOS at the Fermi energy, states/eV per cell: 10.33